Material: CeErAgIr
Method: DFT, GGA-PBE
State: relaxed

Cell lengths 5.011, 5.011, 5.011 Å; angles 60.00, 60.00, 60.00 degrees
Last column: magnetic moment on the atom in μB.
Atoms (fractional coordinates):
Ir (0.750, 0.750, 0.750)  -0.03
Ag (0.250, 0.250, 0.250)  0.00
Ce (0.000, 0.000, 0.000)  0.42
Er (0.500, 0.500, 0.500)  0.01

Uncorrected energy = -6.04 eV per atom


Material: SrCa4Zn4
Method: DFT, GGA-PBE
State: relaxed

Cell lengths 6.094, 9.802, 9.802 Å; angles 90.00, 90.00, 90.00 degrees
Atoms (fractional coordinates):
Sr (0.000, 0.000, 0.000)
Sr (0.500, 0.500, 0.500)
Ca (0.383, 0.338, 0.902)
Ca (0.883, 0.598, 0.838)
Ca (0.383, 0.662, 0.098)
Ca (0.117, 0.162, 0.598)
Ca (0.617, 0.902, 0.662)
Ca (0.117, 0.838, 0.402)
Ca (0.883, 0.402, 0.162)
Ca (0.617, 0.098, 0.338)
Zn (0.623, 0.786, 0.348)
Zn (0.623, 0.214, 0.652)
Zn (0.123, 0.848, 0.714)
Zn (0.877, 0.286, 0.848)
Zn (0.877, 0.714, 0.152)
Zn (0.377, 0.348, 0.214)
Zn (0.377, 0.652, 0.786)
Zn (0.123, 0.152, 0.286)

Uncorrected energy = -1.74 eV per atom


Material: Mg2TlMo
Method: DFT, GGA-PBE
State: relaxed

Cell lengths 2.964, 2.964, 9.276 Å; angles 90.00, 90.00, 90.00 degrees
Atoms (fractional coordinates):
Mg (0.000, 0.000, 0.026)
Mg (0.000, 0.000, 0.474)
Mo (0.500, 0.500, 0.250)
Tl (0.500, 0.500, 0.750)

Energy above the most stable polymorph in this dataset = 1 meV per atom


Which formula does entry 2 have?
SrCa4Zn4


Number 1 is which compound?
CeErAgIr


What is the formula in the second record?
SrCa4Zn4